BaCrTe2 | Alexandria via LeMat-Bulk | GGA-PBE | relaxed; formation energy without anion corrections = -1.7 eV per formula unit; SG = P4/mmm (123); crystal system = tetragonal; density of states at the Fermi level = 1.7 states/eV/cell
1.0
4.033 0.000 0.000
0.000 5.586 0.000
0.000 0.000 5.586
Te Ba Cr
2 1 1
Cartesian
0.000 0.000 0.000
0.000 2.793 2.793
2.017 2.793 0.000
2.017 0.000 2.793

Ho2PaSn | Alexandria via LeMat-Bulk | GGA-PBE | relaxed; E_form = -4.7 kcal/mol of atoms; SG = P4/mmm (123); crystal system = tetragonal; density of states at the Fermi level = 5.2 states/eV/cell
1.0
4.553 0.000 0.000
0.000 4.817 0.000
0.000 0.000 4.817
Sn Ho Pa
1 2 1
Cartesian
2.276 0.000 0.000
0.000 0.000 2.408
0.000 2.408 0.000
2.276 2.408 2.408

In2IrAu2 | Alexandria via LeMat-Bulk | GGA-PBE | relaxed; E_form = 5.0 kcal/mol of atoms; SG = P4/mbm (127); crystal system = tetragonal; density of states at the Fermi level = 5.5 states/eV/cell
1.0
7.401 0.000 0.000
0.000 7.401 0.000
0.000 0.000 3.556
In Ir Au
4 2 4
Cartesian
6.134 2.434 1.778
1.267 4.967 1.778
4.967 6.134 1.778
2.434 1.267 1.778
0.000 0.000 0.000
3.700 3.700 0.000
4.695 0.994 0.000
0.994 2.706 0.000
6.407 4.695 0.000
2.706 6.407 0.000

Y4FeSn | Alexandria via LeMat-Bulk | GGA-PBE | relaxed; E_form = -6.7 kcal/mol of atoms; SG = C2/c (15); crystal system = monoclinic; density of states at the Fermi level = 12.1 states/eV/cell
1.0
-5.344 0.177 2.770
0.624 -7.737 -1.535
4.779 2.401 5.832
Y Fe Sn
8 2 2
Cartesian
-1.546 1.489 6.795
1.733 0.272 6.621
-1.673 -5.431 0.445
-1.540 -0.655 3.487
-0.470 -2.944 6.034
0.529 -2.216 1.033
1.605 -6.649 0.272
1.599 -4.505 3.579
3.443 2.444 6.524
-3.383 -7.604 0.543
-1.841 -3.840 3.278
1.900 -1.320 3.789

Short version: calculated total energy = -4.88; -5.87; -3.96; -6.68 eV/atom, in the order given.